Entry 1:
KRe3Sn SCAN single point on PBEsol structure; E_form = 3.926 eV/atom; calculated total energy = -47.583 eV/atom
1.0
4.521 0.000 0.000
0.000 4.521 0.000
0.000 0.000 4.521
K Re Sn
1 3 1
Cartesian
0.000 0.000 0.000
0.000 0.000 2.261
0.000 2.261 0.000
2.261 0.000 0.000
2.261 2.261 2.261

Entry 2:
NaCoN3 SCAN single point on PBEsol structure; E_form (uncorrected) = 2894 meV per atom; calculated total energy = -6.985 eV/atom
1.0
3.926 0.000 0.000
0.000 3.926 0.000
0.000 0.000 3.926
Na Co N
1 1 3
Cartesian
0.000 0.000 0.000
1.963 1.963 1.963
0.000 0.000 1.963
0.000 1.963 0.000
1.963 0.000 0.000